RbCa2Sn after structural relaxation, computed with GGA-PBE.

Unit cell a=7.488 b=7.488 c=18.963 alpha=90.00 beta=90.00 gamma=90.00
Sites, in units of the cell vectors:
Rb 0.000 0.000 0.000
Rb 0.000 0.500 0.250
Rb 0.500 0.000 0.750
Rb 0.500 0.500 0.500
Ca 0.002 0.750 0.625
Ca 0.250 0.002 0.375
Ca 0.250 0.498 0.875
Ca 0.498 0.750 0.125
Ca 0.502 0.250 0.125
Ca 0.750 0.502 0.875
Ca 0.750 0.998 0.375
Ca 0.998 0.250 0.625
Sn 0.000 0.000 0.500
Sn 0.000 0.500 0.750
Sn 0.500 0.000 0.250
Sn 0.500 0.500 0.000

Computed properties:
VASP energy in eV per atom: -2.114
Calculated volume in Å³/atom: 66.46
Space group: No. 122
ΔH_f (0 K) in kJ/mol of formula units: 50
Total moment in μB/f.u.: 0.00